First-principles (PBE-GGA) data for a geometry-optimized IrRh2Cl structure, as listed in Alexandria.

Calculated values
Density   10.38 g/cm³
Fermi-level density of states   5.492 states/eV/cell
E_tot   -23.81 eV per cell
E_form (uncorrected)   401 meV per atom
Total moment   0.000 μB per atom
Symmetry   C2/m, No. 12
Polymorph energy (0 for the lowest one)   0.1264 eV per atom

Cell and atoms, written as extended XYZ:
```
4
Lattice="3.653 -0.006 0.007 2.590 2.576 0.007 2.348 0.967 7.358" Properties=species:S:1:pos:R:3 pbc="T T T"
Rh 3.891 1.602 3.464
Rh 0.405 0.167 0.222
Cl 6.443 2.653 5.529
Ir 2.148 0.884 1.843
```